1.
A relaxed MnPd3S crystal. Source: the Alexandria database, functional GGA-PBE.

Output
* calculated volume: 90.4 Å³ per cell
* formation energy from raw total energies: 0.015 eV/atom
* N(E_F): 0.9 states/eV/f.u.

Unit cell a=4.4882 b=4.4882 c=4.4882 alpha=90.00 beta=90.00 gamma=90.00
Closest atoms and distances in Å follow each position.
Atoms (fractional coordinates):
Mn1 0.0000 0.0000 0.0000  12 Pd 3.17
Pd1 0.0000 0.5000 0.5000  2 S 2.24
Pd2 0.5000 0.0000 0.5000  2 S 2.24
Pd3 0.5000 0.5000 0.0000  2 S 2.24
S1 0.5000 0.5000 0.5000  6 Pd 2.24

---

2.
A relaxed MnPdS6 crystal. Source: the Alexandria database, functional GGA-PBE.

Output
* calculated volume: 177.7 Å³ per cell
* formation energy from raw total energies: -0.153 eV/atom
* N(E_F): 2.2 states/eV/f.u.

Unit cell a=5.0528 b=5.6367 c=6.9784 alpha=110.17 beta=101.61 gamma=98.37
Closest atoms and distances in Å follow each position.
Atoms (fractional coordinates):
Mn1 0.0000 0.0000 0.0000  4 S 2.28-2.36
Pd1 0.5000 0.5000 0.0000  6 S 2.43-2.54
S1 0.0625 0.3243 0.7259  1 S 2.03
S2 0.2007 0.4337 0.2385  1 S 2.03
S3 0.4340 0.9427 0.1120  1 S 2.07, 1 Mn 2.28
S4 0.5660 0.0573 0.8880  1 S 2.07, 1 Mn 2.28
S5 0.7993 0.5663 0.7615  1 S 2.03
S6 0.9375 0.6757 0.2741  1 S 2.03

---

3.
A relaxed Ta2Mn2PdS6 crystal. Source: the Alexandria database, functional GGA-PBE.

Output
* calculated volume: 200.8 Å³ per cell
* formation energy from raw total energies: -0.605 eV/atom
* N(E_F): 3.8 states/eV/f.u.

Unit cell a=6.3881 b=6.3881 c=6.2268 alpha=96.46 beta=96.46 gamma=125.41
Closest atoms and distances in Å follow each position.
Atoms (fractional coordinates):
Ta1 0.1288 0.8712 0.0000  6 S 2.43-2.66
Ta2 0.8712 0.1288 0.0000  6 S 2.43-2.66
Mn1 0.3409 0.6591 0.5000  6 S 2.48-2.54
Mn2 0.6591 0.3409 0.5000  6 S 2.48-2.54
Pd1 0.5000 0.5000 0.0000  6 S 2.56-2.86
S1 0.0578 0.4520 0.7649  2 Ta 2.46-2.66, 2 Mn 2.48-2.53
S2 0.2407 0.2407 0.2759  2 Ta 2.43, 2 Mn 2.54, 1 Pd 2.56
S3 0.4520 0.0578 0.7649  2 Ta 2.46-2.66, 2 Mn 2.48-2.53
S4 0.5480 0.9422 0.2351  2 Ta 2.46-2.66, 2 Mn 2.48-2.53
S5 0.7593 0.7593 0.7241  2 Ta 2.43, 2 Mn 2.54, 1 Pd 2.56
S6 0.9422 0.5480 0.2351  2 Ta 2.46-2.66, 2 Mn 2.48-2.53

---

4.
A relaxed TaMnPdS4 crystal. Source: the Alexandria database, functional GGA-PBE.

Output
* calculated volume: 262.7 Å³ per cell
* formation energy from raw total energies: -0.648 eV/atom
* N(E_F): 3.3 states/eV/f.u.

Unit cell a=7.1942 b=7.1942 c=7.1942 alpha=121.77 beta=118.38 gamma=89.89
Closest atoms and distances in Å follow each position.
Atoms (fractional coordinates):
Ta1 0.5000 0.0000 0.0000  6 S 2.46-2.48
Ta2 0.5000 0.5000 0.5000  6 S 2.46-2.48
Mn1 0.0000 0.0000 0.0000  6 S 2.45
Mn2 0.5000 0.0000 0.5000  6 S 2.45
Pd1 0.1216 0.3716 0.7500  4 S 2.35
Pd2 0.8784 0.6284 0.2500  4 S 2.35
S1 0.2526 0.2401 0.0125  1 Pd 2.35, 1 Mn 2.45, 2 Ta 2.48
S2 0.2589 0.2397 0.4808  1 Pd 2.35, 2 Mn 2.45, 1 Ta 2.46
S3 0.2589 0.7782 0.0192  1 Pd 2.35, 2 Mn 2.45, 1 Ta 2.46
S4 0.2724 0.7599 0.5125  1 Pd 2.35, 1 Mn 2.45, 2 Ta 2.48
S5 0.7276 0.2401 0.4875  1 Pd 2.35, 1 Mn 2.45, 2 Ta 2.48
S6 0.7411 0.2218 0.9808  1 Pd 2.35, 2 Mn 2.45, 1 Ta 2.46
S7 0.7411 0.7603 0.5192  1 Pd 2.35, 2 Mn 2.45, 1 Ta 2.46
S8 0.7474 0.7599 0.9875  1 Pd 2.35, 1 Mn 2.45, 2 Ta 2.48

---

5.
A relaxed Mn2V2PdS6 crystal. Source: the Alexandria database, functional GGA-PBE.

Output
* calculated volume: 189.4 Å³ per cell
* formation energy from raw total energies: -0.590 eV/atom
* N(E_F): 5.4 states/eV/f.u.

Unit cell a=6.2464 b=6.2464 c=6.0627 alpha=98.34 beta=98.34 gamma=122.84
Closest atoms and distances in Å follow each position.
Atoms (fractional coordinates):
Mn1 0.1644 0.8356 0.0000  6 S 2.47-2.53
Mn2 0.8356 0.1644 0.0000  6 S 2.47-2.53
V1 0.3556 0.6444 0.5000  6 S 2.39-2.49
V2 0.6444 0.3556 0.5000  6 S 2.39-2.49
Pd1 0.0000 0.0000 0.5000  6 S 2.47-2.67
S1 0.0501 0.4280 0.7352  2 V 2.46-2.49, 2 Mn 2.47, 1 Pd 2.67
S2 0.2528 0.2528 0.2451  2 V 2.39, 1 Pd 2.47, 2 Mn 2.53
S3 0.4280 0.0501 0.7352  2 V 2.46-2.49, 2 Mn 2.47, 1 Pd 2.67
S4 0.5720 0.9499 0.2648  2 V 2.46-2.49, 2 Mn 2.47, 1 Pd 2.67
S5 0.7472 0.7472 0.7549  2 V 2.39, 1 Pd 2.47, 2 Mn 2.53
S6 0.9499 0.5720 0.2648  2 V 2.46-2.49, 2 Mn 2.47, 1 Pd 2.67

---

6.
A relaxed MnSbPd5 crystal. Source: the Alexandria database, functional GGA-PBE.

Output
* calculated volume: 261.4 Å³ per cell
* formation energy from raw total energies: 0.023 eV/atom
* N(E_F): 3.7 states/eV/f.u.

Unit cell a=6.5756 b=6.5756 c=7.3803 alpha=114.79 beta=114.79 gamma=85.10
Closest atoms and distances in Å follow each position.
Atoms (fractional coordinates):
Mn1 0.0200 0.9800 0.7500  7 Pd 2.47-2.58
Mn2 0.9800 0.0200 0.2500  7 Pd 2.47-2.58
Sb1 0.5000 0.5000 0.0000  6 Pd 2.58-2.74
Sb2 0.5000 0.5000 0.5000  6 Pd 2.58-2.74
Pd1 0.1087 0.2903 0.6576  2 Mn 2.56-2.58, 1 Sb 2.67, 3 Pd 2.77-2.78
Pd2 0.1116 0.6745 0.0157  1 Mn 2.55, 5 Pd 2.71-2.85, 1 Sb 2.74
Pd3 0.2903 0.1087 0.1576  2 Mn 2.56-2.58, 1 Sb 2.67, 3 Pd 2.77-2.78
Pd4 0.2973 0.7027 0.7500  1 Mn 2.47, 2 Sb 2.58
Pd5 0.3255 0.8884 0.4843  1 Mn 2.55, 5 Pd 2.71-2.85, 1 Sb 2.74
Pd6 0.6745 0.1116 0.5157  1 Mn 2.55, 5 Pd 2.71-2.85, 1 Sb 2.74
Pd7 0.7027 0.2973 0.2500  1 Mn 2.47, 2 Sb 2.58
Pd8 0.7097 0.8913 0.8424  2 Mn 2.56-2.58, 1 Sb 2.67, 3 Pd 2.77-2.78
Pd9 0.8884 0.3255 0.9843  1 Mn 2.55, 5 Pd 2.71-2.85, 1 Sb 2.74
Pd10 0.8913 0.7097 0.3424  2 Mn 2.56-2.58, 1 Sb 2.67, 3 Pd 2.77-2.78

---

The lowest formation energy from raw total energies belongs to which entry?
TaMnPdS4